No. 1
# Pr2Th3

A relaxed structure of Pr2Th3 (PBE, the Alexandria database).

Calculated values
Fermi-level density of states = 1.525 states/eV/atom
M_tot = 0.000 μB per formula unit
E above lowest polymorph = 0.000 eV/f.u.
space group = R-3m
volume = 168.0 Å³ per cell
E_form = 0.1 eV per formula unit

a = 15.0301 Å, b = 15.0301 Å, c = 15.0301 Å
α = 13.79°, β = 13.79°, γ = 13.79°
Fractional coordinates of all 5 atoms:
Pr1 0.2031 0.2031 0.2031
Pr2 0.7969 0.7969 0.7969
Th1 0.0000 0.0000 0.0000
Th2 0.3975 0.3975 0.3975
Th3 0.6025 0.6025 0.6025

No. 2
# Mn2ZnPt8

A relaxed structure of Mn2ZnPt8 (PBE, the Alexandria database).

Calculated values
Fermi-level density of states = 1.018 states/eV/atom
M_tot = 8.391 μB per formula unit
space group = C2/m
volume = 167.5 Å³ per cell
E_form = -3.3 eV per formula unit

a = 7.3175 Å, b = 7.3175 Å, c = 6.2576 Å
α = 105.40°, β = 105.40°, γ = 31.35°
Fractional coordinates of all 11 atoms:
Mn1 0.2256 0.2256 0.1478
Mn2 0.7744 0.7744 0.8522
Zn1 0.5000 0.5000 0.5000
Pt1 0.0461 0.0461 0.2263
Pt2 0.1407 0.1407 0.6941
Pt3 0.3202 0.3202 0.5843
Pt4 0.4032 0.4032 0.0442
Pt5 0.5968 0.5968 0.9558
Pt6 0.6798 0.6798 0.4157
Pt7 0.8593 0.8593 0.3059
Pt8 0.9539 0.9539 0.7737

Q: Which of these has the lowest Fermi-level density of states?
A: Mn2ZnPt8